## NaAc2Tb (PBE)

Data for NaAc2Tb after structural relaxation.

a = 3.857 Å, b = 3.857 Å, c = 12.797 Å
α = 81.33°, β = 81.33°, γ = 60.00°
Element x y z (fractional)
Na 0.667 0.667 0.000
Ac 0.088 0.088 0.735
Ac 0.245 0.245 0.265
Tb 0.500 0.500 0.500

**Energy relative to the elements**: 0.31 eV/f.u.
**Raw total energy**: -0.2547 Ry/atom
**Volume**: 40.59 A^3/atom
**Offset from the most stable computed form**: 0.0 kJ per mole of atoms

## CaLa2Zn2 (PBE)

Data for CaLa2Zn2 after structural relaxation.

a = 4.703 Å, b = 4.703 Å, c = 7.556 Å
α = 71.87°, β = 71.87°, γ = 90.00°
Element x y z (fractional)
Zn 0.409 0.409 0.182
Zn 0.591 0.591 0.818
Ca 0.000 0.000 0.000
La 0.750 0.250 0.500
La 0.250 0.750 0.500

**Energy relative to the elements**: -0.41 eV/f.u.
**Raw total energy**: -0.2178 Ry/atom
**Volume**: 30.02 A^3/atom
**Offset from the most stable computed form**: 12.1 kJ per mole of atoms

## CoSiNi2 (PBE)

Data for CoSiNi2 after structural relaxation.

a = 4.415 Å, b = 4.415 Å, c = 4.103 Å
α = 73.81°, β = 73.81°, γ = 34.52°
Site moments in Bohr magnetons follow the coordinates.
Element x y z (fractional)
Co 0.750 0.750 0.750  0.73
Ni 0.987 0.987 0.006  0.22
Ni 0.513 0.513 0.494  0.22
Si 0.250 0.250 0.250  -0.02

**Raw total energy**: -0.4637 Ry/atom
**Volume**: 10.84 A^3/atom
**Raw formation energy**: -0.29 eV per atom

## IrPtCl3 (PBE)

Data for IrPtCl3 after structural relaxation.

a = 4.768 Å, b = 4.768 Å, c = 4.768 Å
α = 90.00°, β = 90.00°, γ = 90.00°
Site moments in Bohr magnetons follow the coordinates.
Element x y z (fractional)
Ir 0.000 0.000 0.000  0.24
Pt 0.500 0.500 0.500  0.76
Cl 0.000 0.500 0.000  0.06
Cl 0.000 0.000 0.500  0.03
Cl 0.500 0.000 0.000  0.07

**Raw total energy**: -0.2423 Ry/atom
**Volume**: 21.67 A^3/atom
**Offset from the most stable computed form**: 0.0 kJ per mole of atoms
**Raw formation energy**: 0.79 eV per atom

## Sc2PaBi (PBE)

Data for Sc2PaBi after structural relaxation.

a = 4.225 Å, b = 4.783 Å, c = 4.783 Å
α = 90.00°, β = 90.00°, γ = 90.00°
Element x y z (fractional)
Sc 0.000 0.000 0.500
Sc 0.000 0.500 0.000
Pa 0.500 0.000 0.000
Bi 0.500 0.500 0.500

**Energy relative to the elements**: -0.59 eV/f.u.
**Raw total energy**: -0.4894 Ry/atom
**Volume**: 24.16 A^3/atom
**Offset from the most stable computed form**: 3.1 kJ per mole of atoms

## TaCoAg2 (PBE)

Data for TaCoAg2 after structural relaxation.

a = 4.501 Å, b = 4.501 Å, c = 4.501 Å
α = 60.00°, β = 60.00°, γ = 60.00°
Site moments in Bohr magnetons follow the coordinates.
Element x y z (fractional)
Co 0.000 0.000 0.000  1.45
Ag 0.250 0.250 0.250  -0.01
Ag 0.750 0.750 0.750  -0.01
Ta 0.500 0.500 0.500  -0.06

**Energy relative to the elements**: 2.45 eV/f.u.
**Raw total energy**: -0.4081 Ry/atom
**Volume**: 16.11 A^3/atom
**Offset from the most stable computed form**: 44.2 kJ per mole of atoms

## GaMo2 (PBE)

Data for GaMo2 after structural relaxation.

a = 4.446 Å, b = 4.446 Å, c = 2.735 Å
α = 90.00°, β = 90.00°, γ = 120.00°
Element x y z (fractional)
Ga 0.000 0.000 0.000
Mo 0.333 0.667 0.630
Mo 0.667 0.333 0.370

**Energy relative to the elements**: -0.05 eV/f.u.
**Raw total energy**: -0.6061 Ry/atom
**Volume**: 15.61 A^3/atom
**Offset from the most stable computed form**: 6.7 kJ per mole of atoms